(1)
CaYFe2 | Alexandria | SCAN | single point on PBEsol structure; ΔE_f = 0.485 eV per atom
1.0
3.602 0.000 0.000
0.000 4.446 0.000
-1.801 -2.223 5.142
Ca Fe Y
1 2 1
direct
0.271 0.771 0.542 Ca
0.664 0.164 0.328 Fe
0.067 0.067 0.134 Fe
0.498 0.498 0.996 Y

---

(2)
Li2RhAu | Alexandria | SCAN | single point on PBEsol structure; ΔE_f = -0.338 eV per atom
1.0
-1.256 -2.269 -0.678
3.175 -2.282 1.757
-2.226 0.223 4.312
Au Li Rh
1 2 1
direct
0.000 0.500 0.500 Au
0.769 0.000 0.767 Li
0.231 0.000 0.233 Li
0.500 0.500 0.000 Rh

---

(3)
POs2Se | Alexandria | SCAN | single point on PBEsol structure; relative energy among the computed polymorphs = 323 meV/atom
1.0
-2.228 1.434 0.826
-0.225 -2.729 -0.533
2.116 -1.948 9.083
Os Se P
2 1 1
direct
0.000 0.000 0.010 Os
0.500 0.000 0.252 Os
0.500 0.000 0.785 Se
0.000 0.000 0.453 P

---

(4)
CsGaSi3 | Alexandria | SCAN | single point on PBEsol structure; calculated total energy = -79.4 eV for the cell shown
1.0
4.999 0.000 0.000
0.000 4.999 0.000
0.000 0.000 4.999
Si Cs Ga
3 1 1
direct
0.000 0.000 0.500 Si
0.500 0.000 0.000 Si
0.000 0.500 0.000 Si
0.500 0.500 0.500 Cs
0.000 0.000 0.000 Ga

---

(5)
Cr2ReW | Alexandria | SCAN | single point on PBEsol structure; ΔE_f = 0.038 eV per atom
1.0
-0.293 -0.620 2.527
4.171 0.083 0.504
-0.131 4.920 0.273
Cr W Re
2 1 1
direct
0.003 0.000 0.007 Cr
0.754 0.500 0.246 Cr
0.247 0.500 0.759 W
0.496 0.000 0.488 Re

---

(6)
SiMo2Pb | Alexandria | SCAN | single point on PBEsol structure; relative energy among the computed polymorphs = 89 meV/atom
1.0
-0.784 2.264 2.047
0.454 -2.003 2.390
6.601 1.946 0.376
Mo Si Pb
2 1 1
direct
0.000 0.000 0.315 Mo
0.000 0.000 0.685 Mo
0.500 0.500 0.500 Si
0.500 0.500 0.000 Pb